A plane-wave DFT calculation with GGA-PBE was carried out for Na2Ca2H after structural relaxation.

Cell lengths 3.968, 3.968, 19.491 Å; angles 90.00, 90.00, 90.00 degrees
Positions (direct):
Na: 0.000 0.500 0.250
Na: 0.000 0.500 0.750
Na: 0.500 0.000 0.250
Na: 0.500 0.000 0.750
Ca: 0.000 0.000 0.088
Ca: 0.000 0.000 0.912
Ca: 0.500 0.500 0.412
Ca: 0.500 0.500 0.588
H: 0.000 0.000 0.500
H: 0.500 0.500 0.000

* N(E_F): 0.779 states/eV per atom
* offset from the most stable computed form: 324 meV/atom

***

A plane-wave DFT calculation with GGA-PBE was carried out for RbHfIr2 after structural relaxation.

Cell lengths 6.811, 6.811, 6.811 Å; angles 90.00, 90.00, 90.00 degrees
Positions (direct):
Rb: 0.000 0.000 0.000
Rb: 0.000 0.500 0.500
Rb: 0.500 0.000 0.500
Rb: 0.500 0.500 0.000
Hf: 0.000 0.000 0.500
Hf: 0.000 0.500 0.000
Hf: 0.500 0.000 0.000
Hf: 0.500 0.500 0.500
Ir: 0.250 0.250 0.250
Ir: 0.250 0.250 0.750
Ir: 0.250 0.750 0.250
Ir: 0.250 0.750 0.750
Ir: 0.750 0.250 0.250
Ir: 0.750 0.250 0.750
Ir: 0.750 0.750 0.250
Ir: 0.750 0.750 0.750

* N(E_F): 0.559 states/eV per atom
* formation energy from the elements: 2.5 eV/f.u.
* offset from the most stable computed form: 0 meV/atom

***

A plane-wave DFT calculation with GGA-PBE was carried out for Cs2DyB2S6 after structural relaxation.

Cell lengths 6.781, 6.781, 8.874 Å; angles 112.38, 112.38, 59.99 degrees
Positions (direct):
Cs: 0.209 0.209 0.129
Cs: 0.791 0.791 0.871
Dy: 0.000 0.000 0.500
B: 0.402 0.402 0.705
B: 0.598 0.598 0.295
S: 0.252 0.252 0.718
S: 0.253 0.716 0.720
S: 0.284 0.747 0.280
S: 0.716 0.253 0.720
S: 0.747 0.284 0.280
S: 0.748 0.748 0.282

* N(E_F): 0.475 states/eV per atom
* energy relative to the elements, uncorrected: -22.6 kcal/mol of atoms

***

A plane-wave DFT calculation with GGA-PBE was carried out for Er4CuPt3 after structural relaxation.

Cell lengths 3.735, 4.439, 10.454 Å; angles 90.00, 90.00, 90.00 degrees
Positions (direct):
Er: 0.000 0.000 0.000
Er: 0.000 0.500 0.276
Er: 0.500 0.000 0.495
Er: 0.500 0.500 0.773
Cu: 0.000 0.000 0.713
Pt: 0.000 0.500 0.559
Pt: 0.500 0.000 0.225
Pt: 0.500 0.500 0.044

* N(E_F): 0.762 states/eV per atom
* formation energy from the elements: -8.6 eV/f.u.

***

A plane-wave DFT calculation with GGA-PBE was carried out for AlPbCl after structural relaxation.

Cell lengths 3.374, 6.020, 15.474 Å; angles 90.00, 90.00, 90.00 degrees
Positions (direct):
Al: 0.000 0.000 0.000
Al: 0.000 0.500 0.500
Al: 0.500 0.000 0.500
Al: 0.500 0.500 0.000
Pb: 0.000 0.000 0.340
Pb: 0.000 0.500 0.840
Pb: 0.500 0.000 0.840
Pb: 0.500 0.500 0.340
Cl: 0.000 0.000 0.614
Cl: 0.000 0.500 0.114
Cl: 0.500 0.000 0.114
Cl: 0.500 0.500 0.614

* N(E_F): 0.298 states/eV per atom
* energy relative to the elements, uncorrected: -6.4 kcal/mol of atoms
* offset from the most stable computed form: 78 meV/atom

***

A plane-wave DFT calculation with GGA-PBE was carried out for LaTlSi2 after structural relaxation.

Cell lengths 3.367, 3.367, 8.703 Å; angles 90.00, 90.00, 90.00 degrees
Positions (direct):
La: 0.000 0.000 0.000
Tl: 0.000 0.000 0.500
Si: 0.500 0.500 0.241
Si: 0.500 0.500 0.759

* N(E_F): 0.420 states/eV per atom
* energy relative to the elements, uncorrected: 3.8 kcal/mol of atoms
* offset from the most stable computed form: 399 meV/atom

***

A plane-wave DFT calculation with GGA-PBE was carried out for CeBeGe after structural relaxation.

Cell lengths 3.950, 3.950, 4.243 Å; angles 90.00, 90.00, 120.00 degrees
Positions (direct):
Ce: 0.000 0.000 0.000
Be: 0.333 0.667 0.500
Ge: 0.667 0.333 0.500

* N(E_F): 1.791 states/eV per atom
* formation energy from the elements: -1.7 eV/f.u.

***

A plane-wave DFT calculation with GGA-PBE was carried out for ThMgCu after structural relaxation.

Cell lengths 4.770, 4.770, 3.422 Å; angles 90.00, 90.00, 120.00 degrees
Positions (direct):
Th: 0.000 0.000 0.000
Mg: 0.667 0.333 0.500
Cu: 0.333 0.667 0.500

* N(E_F): 0.816 states/eV per atom
* formation energy from the elements: 0.0 eV/f.u.

***

A plane-wave DFT calculation with GGA-PBE was carried out for LaSiAu after structural relaxation.

Cell lengths 4.383, 8.347, 7.734 Å; angles 90.00, 90.00, 90.00 degrees
Positions (direct):
La: 0.000 0.000 0.000
La: 0.000 0.500 0.000
La: 0.500 0.000 0.500
La: 0.500 0.500 0.500
Si: 0.000 0.250 0.318
Si: 0.000 0.750 0.682
Si: 0.500 0.250 0.182
Si: 0.500 0.750 0.818
Au: 0.000 0.250 0.639
Au: 0.000 0.750 0.361
Au: 0.500 0.250 0.861
Au: 0.500 0.750 0.139

* N(E_F): 0.303 states/eV per atom
* energy relative to the elements, uncorrected: -17.7 kcal/mol of atoms

***

A plane-wave DFT calculation with GGA-PBE was carried out for Cd2AsH6 after structural relaxation.

Cell lengths 4.252, 6.016, 8.345 Å; angles 96.56, 102.07, 90.62 degrees
Positions (direct):
Cd: 0.005 0.271 0.000
Cd: 0.995 0.729 0.000
As: 0.500 0.000 0.000
H: 0.275 0.509 0.628
H: 0.306 0.386 0.618
H: 0.499 0.989 0.543
H: 0.501 0.011 0.457
H: 0.694 0.614 0.382
H: 0.725 0.491 0.372

* total energy: -2.85 eV/atom
* N(E_F): 0.140 states/eV per atom

***

A plane-wave DFT calculation with GGA-PBE was carried out for MgGaCoAs2 after structural relaxation.

Cell lengths 4.944, 4.944, 4.943 Å; angles 90.00, 90.00, 90.00 degrees
Positions (direct):
Mg: 0.000 0.000 0.000
Ga: 0.000 0.000 0.500
Co: 0.500 0.500 0.500
As: 0.000 0.500 0.000
As: 0.500 0.000 0.000

* N(E_F): 1.663 states/eV per atom
* formation energy from the elements: 5.1 eV/f.u.

***

A plane-wave DFT calculation with GGA-PBE was carried out for TlVBr5 after structural relaxation.

Cell lengths 7.750, 8.820, 8.805 Å; angles 90.00, 90.00, 90.00 degrees
Positions (direct):
Tl: 0.000 0.000 0.000
Tl: 0.500 0.500 0.500
V: 0.000 0.500 0.267
V: 0.500 0.000 0.767
Br: 0.000 0.217 0.280
Br: 0.000 0.500 0.538
Br: 0.000 0.783 0.280
Br: 0.241 0.000 0.631
Br: 0.259 0.500 0.131
Br: 0.500 0.000 0.038
Br: 0.500 0.283 0.780
Br: 0.500 0.717 0.780
Br: 0.741 0.500 0.131
Br: 0.759 0.000 0.631

* N(E_F): 0.866 states/eV per atom
* energy relative to the elements, uncorrected: -17.1 kcal/mol of atoms

***

A plane-wave DFT calculation with GGA-PBE was carried out for MgHgBiH2 after structural relaxation.

Cell lengths 4.077, 4.077, 7.077 Å; angles 90.00, 90.00, 90.00 degrees
Positions (direct):
Mg: 0.000 0.000 0.000
Hg: 0.000 0.000 0.500
Bi: 0.500 0.500 0.500
H: 0.000 0.500 0.000
H: 0.500 0.000 0.000

* total energy: -2.15 eV/atom
* N(E_F): 0.405 states/eV per atom

***

A plane-wave DFT calculation with GGA-PBE was carried out for La2TbDyTh after structural relaxation.

Cell lengths 6.361, 8.518, 6.622 Å; angles 90.00, 101.77, 90.00 degrees
Positions (direct):
La: 0.220 0.176 0.166
La: 0.220 0.824 0.666
La: 0.780 0.176 0.334
La: 0.780 0.824 0.834
Tb: 0.000 0.406 0.750
Tb: 0.000 0.594 0.250
Dy: 0.500 0.164 0.750
Dy: 0.500 0.836 0.250
Th: 0.500 0.500 0.000
Th: 0.500 0.500 0.500

* N(E_F): 1.726 states/eV per atom
* formation energy from the elements: 1.1 eV/f.u.

***

A plane-wave DFT calculation with GGA-PBE was carried out for Sb6OsRh after structural relaxation.

Cell lengths 8.118, 8.118, 9.382 Å; angles 125.08, 125.08, 70.72 degrees
Positions (direct):
Sb: 0.154 0.843 0.838
Sb: 0.157 0.846 0.162
Sb: 0.185 0.505 0.346
Sb: 0.337 0.337 0.682
Sb: 0.344 0.344 0.000
Sb: 0.495 0.815 0.654
Sb: 0.505 0.185 0.346
Sb: 0.656 0.656 0.000
Sb: 0.663 0.663 0.318
Sb: 0.815 0.495 0.654
Sb: 0.843 0.154 0.838
Sb: 0.846 0.157 0.162
Os: 0.000 0.500 0.500
Os: 0.500 0.000 0.500
Rh: 0.000 0.500 0.000
Rh: 0.500 0.000 0.000

* N(E_F): 0.733 states/eV per atom
* energy relative to the elements, uncorrected: -4.3 kcal/mol of atoms

***

A plane-wave DFT calculation with GGA-PBE was carried out for CdPbS2 after structural relaxation.

Cell lengths 6.343, 6.343, 12.251 Å; angles 90.00, 90.00, 90.00 degrees
Positions (direct):
Cd: 0.000 0.000 0.000
Cd: 0.000 0.500 0.250
Cd: 0.500 0.000 0.750
Cd: 0.500 0.500 0.500
Pb: 0.000 0.000 0.500
Pb: 0.000 0.500 0.750
Pb: 0.500 0.000 0.250
Pb: 0.500 0.500 0.000
S: 0.211 0.250 0.125
S: 0.250 0.711 0.375
S: 0.250 0.789 0.875
S: 0.289 0.250 0.625
S: 0.711 0.750 0.625
S: 0.750 0.211 0.875
S: 0.750 0.289 0.375
S: 0.789 0.750 0.125

* N(E_F): 0.000 states/eV per atom
* energy relative to the elements, uncorrected: -11.0 kcal/mol of atoms

***

A plane-wave DFT calculation with GGA-PBE was carried out for ScOs2Br after structural relaxation.

Cell lengths 3.023, 3.023, 29.215 Å; angles 90.00, 90.00, 120.00 degrees
Positions (direct):
Sc: 0.000 0.000 0.000
Sc: 0.333 0.667 0.667
Sc: 0.667 0.333 0.333
Os: 0.000 0.000 0.257
Os: 0.000 0.000 0.524
Os: 0.333 0.667 0.190
Os: 0.333 0.667 0.924
Os: 0.667 0.333 0.590
Os: 0.667 0.333 0.857
Br: 0.000 0.000 0.734
Br: 0.333 0.667 0.401
Br: 0.667 0.333 0.067

* N(E_F): 0.785 states/eV per atom
* energy relative to the elements, uncorrected: 7.4 kcal/mol of atoms
* offset from the most stable computed form: 363 meV/atom

***

A plane-wave DFT calculation with GGA-PBE was carried out for KNiPt2 after structural relaxation.

Cell lengths 5.624, 10.067, 2.733 Å; angles 90.00, 117.49, 90.00 degrees
Positions (direct):
K: 0.000 0.000 0.000
K: 0.500 0.500 0.000
Ni: 0.000 0.500 0.000
Ni: 0.500 0.000 0.000
Pt: 0.250 0.250 0.500
Pt: 0.250 0.750 0.500
Pt: 0.750 0.250 0.500
Pt: 0.750 0.750 0.500

* N(E_F): 1.270 states/eV per atom
* formation energy from the elements: 1.7 eV/f.u.
* offset from the most stable computed form: 330 meV/atom

***

A plane-wave DFT calculation with GGA-PBE was carried out for Hf2MgNbP after structural relaxation.

Cell lengths 4.929, 4.929, 4.695 Å; angles 90.00, 90.00, 90.00 degrees
Positions (direct):
Hf: 0.000 0.500 0.000
Hf: 0.500 0.000 0.000
Mg: 0.000 0.000 0.000
Nb: 0.000 0.000 0.500
P: 0.500 0.500 0.500

* N(E_F): 1.063 states/eV per atom
* formation energy from the elements: 7.4 eV/f.u.

***

A plane-wave DFT calculation with GGA-PBE was carried out for Tm2NpSi2Pt7 after structural relaxation.

Cell lengths 4.014, 4.014, 13.939 Å; angles 96.37, 96.37, 89.37 degrees
Positions (direct):
Tm: 0.125 0.125 0.359
Tm: 0.875 0.875 0.641
Np: 0.000 0.000 0.000
Si: 0.397 0.397 0.737
Si: 0.603 0.603 0.263
Pt: 0.067 0.566 0.167
Pt: 0.358 0.358 0.569
Pt: 0.434 0.933 0.833
Pt: 0.500 0.500 0.000
Pt: 0.566 0.067 0.167
Pt: 0.642 0.642 0.431
Pt: 0.933 0.434 0.833

* N(E_F): 1.009 states/eV per atom
* energy relative to the elements, uncorrected: -21.7 kcal/mol of atoms